1.
Here is a geometry-optimized Ac2HoIrO6 structure from the Alexandria database. Energies are from PBE-GGA.

Lattice parameters (Å, degrees): 5.810 6.120 8.379 90.00 90.00 90.00
Element x y z (fractional)
Ac  0.500  0.790  0.227
Ac  0.000  0.210  0.727
Ac  0.500  0.790  0.773
Ac  0.000  0.210  0.273
Ho  0.000  0.716  0.500
Ho  0.500  0.284  0.000
Ir  0.500  0.224  0.500
Ir  0.000  0.776  0.000
O  0.500  0.213  0.256
O  0.500  0.213  0.744
O  0.000  0.787  0.244
O  0.000  0.787  0.756
O  0.248  0.990  0.500
O  0.752  0.990  0.500
O  0.243  0.451  0.500
O  0.757  0.451  0.500
O  0.743  0.549  0.000
O  0.257  0.549  0.000
O  0.252  0.010  0.000
O  0.748  0.010  0.000

- Magnetization: 0.00 μB/cell
- ΔE_f (raw): -2.61 eV per atom
- Final energy: -7.75 eV/atom

2.
Here is a geometry-optimized AcHo2IrO8 structure from the Alexandria database. Energies are from PBE-GGA.

Lattice parameters (Å, degrees): 5.082 5.077 7.037 89.99 90.00 89.21
Last column: magnetic moment on the atom in μB.
Element x y z (fractional)
Ac  0.000  0.000  0.500  0.02
Ho  0.500  0.500  0.754  0.04
Ho  0.500  0.500  0.246  0.04
Ir  0.000  0.000  0.000  1.01
O  0.188  0.810  0.197  0.12
O  0.731  0.732  0.000  0.09
O  0.812  0.189  0.197  0.12
O  0.812  0.190  0.803  0.12
O  0.269  0.268  0.000  0.09
O  0.188  0.811  0.803  0.12
O  0.675  0.676  0.500  0.04
O  0.325  0.324  0.500  0.04

- Magnetization: 2.10 μB/cell
- ΔE_f (raw): -2.33 eV per atom
- Final energy: -7.48 eV/atom

3.
Here is a geometry-optimized AcHoIrPb structure from the Alexandria database. Energies are from PBE-GGA.

Lattice parameters (Å, degrees): 5.361 5.361 5.361 60.00 60.00 60.00
Element x y z (fractional)
Pb  0.000  0.000  0.000
Ac  0.250  0.250  0.250
Ir  0.500  0.500  0.500
Ho  0.750  0.750  0.750

- Energy of formation: -323 meV/atom
- Magnetization: 0.00 μB/cell
- Final energy: -5.64 eV/atom

4.
Here is a geometry-optimized AcHoIrRh structure from the Alexandria database. Energies are from PBE-GGA.

Lattice parameters (Å, degrees): 5.046 5.046 5.046 60.00 60.00 60.00
Element x y z (fractional)
Ac  0.750  0.750  0.750
Ir  0.000  0.000  0.000
Rh  0.500  0.500  0.500
Ho  0.250  0.250  0.250

- Energy of formation: -616 meV/atom
- Magnetization: 0.00 μB/cell
- Final energy: -6.84 eV/atom

5.
Here is a geometry-optimized AcHoIrRu structure from the Alexandria database. Energies are from PBE-GGA.

Lattice parameters (Å, degrees): 5.022 5.022 5.022 60.00 60.00 60.00
Element x y z (fractional)
Ru  0.000  0.000  0.000
Ac  0.750  0.750  0.750
Ir  0.500  0.500  0.500
Ho  0.250  0.250  0.250

- Energy of formation: -308 meV/atom
- Magnetization: 0.00 μB/cell
- Final energy: -7.01 eV/atom

6.
Here is a geometry-optimized Ac2HoSb4Ir3 structure from the Alexandria database. Energies are from PBE-GGA.

Lattice parameters (Å, degrees): 4.636 4.636 11.551 90.00 90.00 90.00
Element x y z (fractional)
Ac  0.500  0.000  0.233
Ac  0.000  0.500  0.767
Ho  0.500  0.500  0.500
Sb  0.500  0.500  0.000
Sb  0.000  0.000  0.000
Sb  0.500  0.000  0.654
Sb  0.000  0.500  0.346
Ir  0.000  0.000  0.500
Ir  0.500  0.000  0.887
Ir  0.000  0.500  0.113

- Magnetization: 0.00 μB/cell
- ΔE_f (raw): -0.72 eV per atom
- Final energy: -6.31 eV/atom

7.
Here is a geometry-optimized AcHoSiIr structure from the Alexandria database. Energies are from PBE-GGA.

Lattice parameters (Å, degrees): 5.143 5.143 5.143 60.00 60.00 60.00
Element x y z (fractional)
Ac  0.000  0.000  0.000
Ir  0.250  0.250  0.250
Si  0.750  0.750  0.750
Ho  0.500  0.500  0.500

- Magnetization: 0.00 μB/cell
- ΔE_f (raw): -0.40 eV per atom
- Final energy: -6.14 eV/atom

8.
Here is a geometry-optimized AcHoSnIr structure from the Alexandria database. Energies are from PBE-GGA.

Lattice parameters (Å, degrees): 5.317 5.317 5.317 60.00 60.00 60.00
Element x y z (fractional)
Ac  0.750  0.750  0.750
Ir  0.500  0.500  0.500
Ho  0.250  0.250  0.250
Sn  0.000  0.000  0.000

- Energy of formation: -423 meV/atom
- Magnetization: 0.00 μB/cell
- Final energy: -5.81 eV/atom